# Sr2NpTiS6

A relaxed Sr2NpTiS6 crystal (PBE-GGA, Alexandria).

Computed properties:
Energy relative to the elements, uncorrected = -1.58 eV per atom
Total energy = -6.4719 eV per atom
Space-group type = C2/m
DOS(E_F) = 10.13 states/eV per cell

Cell and atoms, written as POSCAR:
```
Sr2NpTiS6
1.0
-4.557 2.615 -4.685
1.367 -5.305 -4.292
-1.938 -1.285 6.614
S Np Sr Ti
6 1 2 1
Direct
0.207 0.191 0.896
0.646 0.241 0.481
0.354 0.759 0.519
0.207 0.705 0.896
0.793 0.295 0.104
0.793 0.809 0.104
0.000 0.500 0.000
0.764 0.746 0.491
0.236 0.254 0.509
0.500 0.000 0.000
```

# SrNpTl2S4

A relaxed SrNpTl2S4 crystal (PBE-GGA, Alexandria).

Computed properties:
Energy relative to the elements, uncorrected = -1.16 eV per atom
Total energy = -5.6415 eV per atom
Space-group type = P2/m
DOS(E_F) = 8.75 states/eV per cell

Cell and atoms, written as POSCAR:
```
SrNpTl2S4
1.0
-2.472 -2.366 -2.384
-3.118 -3.199 6.409
-5.737 4.029 1.950
Sr S Tl Np
1 4 2 1
Direct
0.500 0.500 0.000
0.500 0.698 0.291
0.500 0.302 0.709
0.000 0.704 0.733
0.000 0.296 0.267
0.000 0.000 0.000
0.500 0.000 0.500
0.000 0.500 0.500
```

# Sr2TmNpS6

A relaxed Sr2TmNpS6 crystal (PBE-GGA, Alexandria).

Computed properties:
Energy relative to the elements, uncorrected = -1.76 eV per atom
Total energy = -6.3142 eV per atom
Space-group type = P2_1/c
DOS(E_F) = 15.22 states/eV per cell

Cell and atoms, written as POSCAR:
```
Sr2TmNpS6
1.0
-2.552 -4.246 4.831
4.270 -5.452 -2.537
7.307 2.774 6.337
Tm S Np Sr
2 12 2 4
Direct
0.500 0.000 0.000
0.000 0.500 0.500
0.804 0.807 0.556
0.391 0.968 0.746
0.187 0.200 0.058
0.609 0.032 0.254
0.696 0.307 0.944
0.687 0.300 0.558
0.813 0.800 0.942
0.313 0.700 0.442
0.304 0.693 0.056
0.109 0.468 0.754
0.196 0.193 0.444
0.891 0.532 0.246
0.000 0.500 0.000
0.500 0.000 0.500
0.474 0.421 0.249
0.526 0.579 0.751
0.974 0.079 0.749
0.026 0.921 0.251
```

# SrNpUS6

A relaxed SrNpUS6 crystal (PBE-GGA, Alexandria).

Computed properties:
Energy relative to the elements, uncorrected = -1.30 eV per atom
Total energy = -6.9288 eV per atom
Space-group type = P4_2nm
DOS(E_F) = 29.22 states/eV per cell

Cell and atoms, written as POSCAR:
```
SrNpUS6
1.0
6.397 0.000 0.000
0.000 6.397 0.000
0.000 0.000 12.373
S Sr Np U
12 2 2 2
Direct
0.213 0.787 0.814
0.787 0.213 0.814
0.176 0.824 0.496
0.324 0.324 0.996
0.706 0.706 0.689
0.206 0.794 0.189
0.794 0.206 0.189
0.287 0.287 0.314
0.824 0.176 0.496
0.713 0.713 0.314
0.676 0.676 0.996
0.294 0.294 0.689
0.500 0.500 0.500
0.000 0.000 0.000
0.500 0.500 0.167
0.000 0.000 0.667
0.000 0.000 0.333
0.500 0.500 0.833
```

# SrNp2US8

A relaxed SrNp2US8 crystal (PBE-GGA, Alexandria).

Computed properties:
Energy relative to the elements, uncorrected = -1.26 eV per atom
Total energy = -7.2513 eV per atom
Space-group type = P2/m
DOS(E_F) = 17.93 states/eV per cell

Cell and atoms, written as POSCAR:
```
SrNp2US8
1.0
-2.387 -0.181 -5.912
-1.179 -6.058 0.628
-7.506 1.769 2.975
S Sr Np U
8 1 2 1
Direct
0.370 0.282 0.500
0.834 0.234 0.782
0.834 0.235 0.218
0.327 0.276 0.000
0.673 0.724 0.000
0.630 0.718 0.500
0.166 0.765 0.782
0.166 0.766 0.218
0.000 0.000 0.500
0.500 0.500 0.752
0.500 0.500 0.248
0.000 0.000 0.000
```

# Sr3Y3NpS8

A relaxed Sr3Y3NpS8 crystal (PBE-GGA, Alexandria).

Computed properties:
Energy relative to the elements, uncorrected = -1.95 eV per atom
Total energy = -6.6432 eV per atom
Space-group type = R-3m
DOS(E_F) = 14.25 states/eV per cell

Cell and atoms, written as POSCAR:
```
Sr3Y3NpS8
1.0
8.023 0.000 0.000
-4.012 6.949 -0.025
0.000 -4.608 6.886
S Sr Y Np
8 3 3 1
Direct
0.743 0.487 0.730
0.758 0.515 0.275
0.260 0.017 0.275
0.242 0.983 0.725
0.257 0.513 0.270
0.758 0.017 0.275
0.242 0.485 0.725
0.740 0.983 0.725
0.500 0.500 0.000
0.000 0.500 0.000
0.000 0.000 0.000
0.500 0.500 0.500
0.500 0.000 0.500
0.000 0.500 0.500
0.000 0.000 0.500
```

# Sr2NpZnS5

A relaxed Sr2NpZnS5 crystal (PBE-GGA, Alexandria).

Computed properties:
Energy relative to the elements, uncorrected = -1.54 eV per atom
Total energy = -5.7876 eV per atom
Space-group type = Cmc2_1
DOS(E_F) = 19.56 states/eV per cell

Cell and atoms, written as POSCAR:
```
Sr2NpZnS5
1.0
-0.201 -3.922 -0.887
2.704 3.673 -7.718
11.797 -1.391 3.471
S Sr Np Zn
10 4 2 2
Direct
0.289 0.579 0.664
0.308 0.615 0.373
0.692 0.385 0.873
0.357 0.713 0.006
0.643 0.287 0.506
0.499 0.999 0.775
0.947 0.894 0.543
0.501 0.001 0.275
0.053 0.106 0.043
0.711 0.421 0.164
0.878 0.757 0.819
0.892 0.784 0.183
0.108 0.216 0.683
0.122 0.243 0.319
0.794 0.588 0.519
0.206 0.412 0.019
0.556 0.112 0.941
0.444 0.888 0.441
```

# NpTaS6

A relaxed NpTaS6 crystal (PBE-GGA, Alexandria).

Computed properties:
Energy relative to the elements, uncorrected = -0.55 eV per atom
Total energy = -6.7422 eV per atom
Space-group type = P-1
DOS(E_F) = 7.05 states/eV per cell

Cell and atoms, written as POSCAR:
```
NpTaS6
1.0
-4.430 4.861 1.252
-6.197 -0.297 -2.858
-5.558 -1.406 3.717
Np S Ta
1 6 1
Direct
0.000 0.000 0.000
0.179 0.330 0.671
0.255 0.746 0.744
0.821 0.670 0.329
0.671 0.180 0.821
0.329 0.820 0.179
0.745 0.254 0.256
0.500 0.500 0.500
```

# Np2TaS6

A relaxed Np2TaS6 crystal (PBE-GGA, Alexandria).

Computed properties:
Energy relative to the elements, uncorrected = -1.17 eV per atom
Excess energy over the best structure of this formula in the dataset = 0 meV per atom
Total energy = -8.1178 eV per atom
Space-group type = P2_1/c
DOS(E_F) = 33.45 states/eV per cell

Cell and atoms, written as POSCAR:
```
Np2TaS6
1.0
6.157 0.000 -0.248
0.000 7.067 0.000
0.776 0.000 8.703
S Np Ta
12 4 2
Direct
0.650 0.191 0.067
0.353 0.541 0.262
0.831 0.676 0.060
0.350 0.809 0.933
0.331 0.824 0.560
0.647 0.459 0.738
0.150 0.309 0.567
0.169 0.324 0.940
0.669 0.176 0.440
0.147 0.041 0.238
0.850 0.691 0.433
0.853 0.959 0.762
0.042 0.619 0.760
0.542 0.881 0.260
0.958 0.381 0.240
0.458 0.119 0.740
0.000 0.000 0.500
0.500 0.500 0.000
```

# NpTaS2

A relaxed NpTaS2 crystal (PBE-GGA, Alexandria).

Computed properties:
Energy relative to the elements, uncorrected = -0.58 eV per atom
Excess energy over the best structure of this formula in the dataset = 0 meV per atom
Total energy = -8.8452 eV per atom
Space-group type = R-3m
DOS(E_F) = 4.15 states/eV per cell

Cell and atoms, written as POSCAR:
```
NpTaS2
1.0
3.244 0.000 0.000
1.622 2.809 0.000
1.622 0.936 8.905
Np Ta S
1 1 2
Direct
0.000 0.000 0.000
0.500 0.500 0.500
0.895 0.895 0.316
0.105 0.105 0.684
```

# NpTaS3

A relaxed NpTaS3 crystal (PBE-GGA, Alexandria).

Computed properties:
Energy relative to the elements, uncorrected = -1.19 eV per atom
Excess energy over the best structure of this formula in the dataset = 0 meV per atom
Total energy = -8.6220 eV per atom
Space-group type = C2/m
DOS(E_F) = 15.03 states/eV per cell

Cell and atoms, written as POSCAR:
```
NpTaS3
1.0
3.440 0.000 -0.754
-1.911 6.747 -0.495
0.021 0.040 8.331
S Np Ta
6 2 2
Direct
0.191 0.824 0.642
0.305 0.722 0.972
0.401 0.527 0.358
0.095 0.019 0.255
0.618 0.317 0.003
0.878 0.228 0.611
0.577 0.515 0.722
0.920 0.031 0.891
0.878 0.654 0.186
0.618 0.892 0.428
```

# Np6TaS12

A relaxed Np6TaS12 crystal (PBE-GGA, Alexandria).

Computed properties:
Energy relative to the elements, uncorrected = -1.30 eV per atom
Total energy = -8.6169 eV per atom
Space-group type = R-3
DOS(E_F) = 50.29 states/eV per cell

Cell and atoms, written as POSCAR:
```
Np6TaS12
1.0
7.654 -0.390 -0.840
-0.894 7.612 -0.840
-0.365 -0.390 7.691
S Np Ta
12 6 1
Direct
0.420 0.569 0.822
0.580 0.431 0.178
0.066 0.317 0.975
0.934 0.683 0.025
0.683 0.025 0.934
0.431 0.178 0.580
0.822 0.420 0.569
0.569 0.822 0.420
0.317 0.975 0.066
0.178 0.580 0.431
0.025 0.934 0.683
0.975 0.066 0.317
0.695 0.368 0.865
0.135 0.305 0.632
0.305 0.632 0.135
0.368 0.865 0.695
0.632 0.135 0.305
0.865 0.695 0.368
0.000 0.000 0.000
```

Q: Which formula does entry 9 have?
A: Np2TaS6

Copy entry 10 word for word.
# NpTaS2

A relaxed NpTaS2 crystal (PBE-GGA, Alexandria).

Computed properties:
Energy relative to the elements, uncorrected = -0.58 eV per atom
Excess energy over the best structure of this formula in the dataset = 0 meV per atom
Total energy = -8.8452 eV per atom
Space-group type = R-3m
DOS(E_F) = 4.15 states/eV per cell

Cell and atoms, written as POSCAR:
```
NpTaS2
1.0
3.244 0.000 0.000
1.622 2.809 0.000
1.622 0.936 8.905
Np Ta S
1 1 2
Direct
0.000 0.000 0.000
0.500 0.500 0.500
0.895 0.895 0.316
0.105 0.105 0.684
```

Q: What is the DOS(E_F) in the fourth record?
A: 29.22 states/eV per cell

Please write out number 9 again, unchanged.
# Np2TaS6

A relaxed Np2TaS6 crystal (PBE-GGA, Alexandria).

Computed properties:
Energy relative to the elements, uncorrected = -1.17 eV per atom
Excess energy over the best structure of this formula in the dataset = 0 meV per atom
Total energy = -8.1178 eV per atom
Space-group type = P2_1/c
DOS(E_F) = 33.45 states/eV per cell

Cell and atoms, written as POSCAR:
```
Np2TaS6
1.0
6.157 0.000 -0.248
0.000 7.067 0.000
0.776 0.000 8.703
S Np Ta
12 4 2
Direct
0.650 0.191 0.067
0.353 0.541 0.262
0.831 0.676 0.060
0.350 0.809 0.933
0.331 0.824 0.560
0.647 0.459 0.738
0.150 0.309 0.567
0.169 0.324 0.940
0.669 0.176 0.440
0.147 0.041 0.238
0.850 0.691 0.433
0.853 0.959 0.762
0.042 0.619 0.760
0.542 0.881 0.260
0.958 0.381 0.240
0.458 0.119 0.740
0.000 0.000 0.500
0.500 0.500 0.000
```